(1)
Compound: ZnGaAg2Te
Source: Alexandria
Functional: PBE
Structure: relaxed

Output
formation energy (no corrections)	32	kJ per mole of atoms

a b c (Å): 4.961 4.920 4.961
angles (deg): 90.00 90.00 90.00
Fractional positions:
1 Ga 0.000 0.500 0.000
2 Ag 0.000 0.000 0.500
3 Ag 0.500 0.000 0.000
4 Zn 0.000 0.000 0.000
5 Te 0.500 0.500 0.500

=====

(2)
Compound: Th2GaAg
Source: Alexandria
Functional: PBE
Structure: relaxed

Output
formation energy from the elements	0.205	eV/atom

a b c (Å): 3.322 3.322 11.478
angles (deg): 81.68 81.68 60.00
Fractional positions:
1 Ag 0.000 0.000 0.000
2 Th 0.092 0.092 0.723
3 Th 0.908 0.908 0.277
4 Ga 0.500 0.500 0.500

=====

(3)
Compound: ThGa3Ag
Source: Alexandria
Functional: PBE
Structure: relaxed

Output
formation energy from the elements	-0.284	eV/atom

a b c (Å): 6.073 5.927 6.002
angles (deg): 90.00 90.00 90.00
Fractional positions:
1 Ag 0.119 0.817 0.701
2 Ag 0.619 0.536 0.200
3 Ga 0.993 0.503 0.976
4 Ga 0.493 0.849 0.476
5 Ga 0.992 0.503 0.426
6 Ga 0.492 0.849 0.926
7 Ga 0.375 0.186 0.201
8 Ga 0.875 0.167 0.701
9 Th 0.400 0.329 0.701
10 Th 0.900 0.024 0.201

=====

Number 1: final energy -2.29 eV per atom. Number 2: final energy -4.97 eV per atom. Number 3: final energy -4.15 eV per atom.